A relaxed Li5NiO4 crystal. Source: Alexandria, functional PBEsol.

a b c (Å): 4.7175 6.3020 6.3020
angles (deg): 95.48 90.00 90.00
Fractional positions:
Li  0.0000  0.4827  0.5173
Li  0.5000  0.9827  0.0173
Li  0.0312  0.4498  0.9570
Li  0.9688  0.0430  0.5502
Li  0.4688  0.9498  0.4570
Li  0.5312  0.5430  0.0502
Li  0.9456  0.7861  0.7908
Li  0.4456  0.7092  0.7139
Li  0.5544  0.2861  0.2908
Li  0.0544  0.2092  0.2139
Ni  0.5000  0.2574  0.7426
Ni  0.0000  0.7574  0.2426
O  0.2312  0.7389  0.0016
O  0.7312  0.4984  0.7611
O  0.2688  0.2389  0.5016
O  0.7688  0.9984  0.2611
O  0.6631  0.9844  0.7341
O  0.1631  0.7659  0.5157
O  0.8369  0.4844  0.2341
O  0.3369  0.2659  0.0156

Computed properties:
* DOS(E_F): 0.3 states/eV per cell
* ΔE_f (raw): -1.56 eV per atom
* magnetic moment: 6.000 μB/cell
* symmetry: Aea2
* V: 9.325 Å³/atom

A relaxed Rb2ZnBr4 crystal. Source: Alexandria, functional PBEsol.

a b c (Å): 7.4423 9.6623 13.4386
angles (deg): 90.00 90.00 90.00
Fractional positions:
Rb  0.2516  0.0214  0.1708
Rb  0.7516  0.9786  0.8292
Rb  0.7516  0.4786  0.6708
Rb  0.2516  0.5214  0.3292
Rb  0.2524  0.3793  0.9252
Rb  0.7524  0.6207  0.0748
Rb  0.7524  0.1207  0.4252
Rb  0.2524  0.8793  0.5748
Zn  0.2496  0.7739  0.9260
Zn  0.7496  0.2261  0.0740
Zn  0.7496  0.7261  0.4260
Zn  0.2496  0.2739  0.5740
Br  0.2469  0.0196  0.9119
Br  0.7469  0.9804  0.0881
Br  0.7469  0.4804  0.4119
Br  0.2469  0.5196  0.5881
Br  0.2478  0.6876  0.0944
Br  0.7478  0.3124  0.9056
Br  0.7478  0.8124  0.5944
Br  0.2478  0.1876  0.4056
Br  0.5094  0.6735  0.8494
Br  0.0094  0.3265  0.1506
Br  0.0094  0.8265  0.3494
Br  0.5094  0.1735  0.6506
Br  0.9921  0.6717  0.8480
Br  0.4921  0.3283  0.1520
Br  0.4921  0.8283  0.3480
Br  0.9921  0.1717  0.6520

Computed properties:
* DOS(E_F): 0.0 states/eV per cell
* ΔE_f (raw): -1.39 eV per atom
* magnetic moment: 0.000 μB/cell
* symmetry: Pna2_1
* V: 34.513 Å³/atom

A relaxed NiTeCl2 crystal. Source: Alexandria, functional PBEsol.

a b c (Å): 3.2942 3.2942 9.9632
angles (deg): 80.48 80.48 60.00
Fractional positions:
Ni  0.5000  0.5000  0.5000
Te  0.0000  0.0000  0.0000
Cl  0.2123  0.2123  0.3630
Cl  0.7877  0.7877  0.6370

Computed properties:
* DOS(E_F): 1.9 states/eV per cell
* ΔE_f (raw): -0.28 eV per atom
* magnetic moment: 1.799 μB/cell
* symmetry: R-3m
* V: 22.978 Å³/atom

A relaxed MgHg5 crystal. Source: Alexandria, functional PBEsol.

a b c (Å): 3.4506 5.0759 7.8580
angles (deg): 90.00 102.68 90.00
Fractional positions:
Mg  0.8874  0.5000  0.7748
Hg  0.0016  0.0000  0.0031
Hg  0.6675  0.0000  0.3349
Hg  0.3374  0.0000  0.6749
Hg  0.5488  0.5000  0.0975
Hg  0.2241  0.5000  0.4481

Computed properties:
* DOS(E_F): 2.1 states/eV per cell
* magnetic moment: 0.000 μB/cell
* symmetry: Amm2
* ΔH_f (0 K): -81 meV per atom
* V: 22.379 Å³/atom

A relaxed SrLaNiAu2 crystal. Source: Alexandria, functional PBEsol.

a b c (Å): 4.8154 5.5345 5.5345
angles (deg): 90.00 90.00 90.00
Fractional positions:
Ni  0.5000  0.0000  0.0000
Sr  0.5000  0.5000  0.5000
Au  0.0000  0.0000  0.5000
Au  0.0000  0.5000  0.0000
La  0.0000  0.0000  0.0000

Computed properties:
* DOS(E_F): 2.0 states/eV per cell
* magnetic moment: 0.000 μB/cell
* symmetry: P4/mmm
* ΔH_f (0 K): 88 meV per atom
* V: 29.500 Å³/atom

A relaxed Be2SiTe crystal. Source: Alexandria, functional PBEsol.

a b c (Å): 3.5699 3.4686 5.1085
angles (deg): 90.00 90.00 90.00
Fractional positions:
Be  0.0000  0.0000  0.0000
Be  0.5000  0.0000  0.5000
Si  0.5000  0.5000  0.0000
Te  0.0000  0.5000  0.5000

Computed properties:
* DOS(E_F): 1.5 states/eV per cell
* distance to the lowest polymorph of the same formula: 308.6 meV/atom
* ΔE_f (raw): 0.67 eV per atom
* magnetic moment: 0.000 μB/cell
* symmetry: Pmmm
* V: 15.814 Å³/atom